AgSn2HRh: optimized geometry, PBE.

N(E_F): 2.9 states/eV per cell
calculated volume: 94 Å³/f.u.
raw total energy: -3.891 eV per atom
M_tot: 0.000 μB/f.u.
crystal system: tetragonal

a b c (Å): 5.3179 3.3163 5.3179
angles (deg): 90.00 90.00 90.00
Element x y z (fractional)
Ag  0.0000  0.0000  0.0000
Sn  0.0000  0.0000  0.5000
Sn  0.5000  0.0000  0.0000
H  0.0000  0.5000  0.0000
Rh  0.5000  0.5000  0.5000


Sr2AgHRh: optimized geometry, PBE.

N(E_F): 2.1 states/eV per cell
calculated volume: 109 Å³/f.u.
raw total energy: -3.717 eV per atom
M_tot: 0.000 μB/f.u.
crystal system: tetragonal

a b c (Å): 5.4972 5.4972 3.6143
angles (deg): 90.00 90.00 90.00
Element x y z (fractional)
Sr  0.5000  0.0000  0.0000
Sr  0.0000  0.5000  0.0000
Rh  0.0000  0.0000  0.5000
H  0.0000  0.0000  0.0000
Ag  0.5000  0.5000  0.5000


Sr2AgH6Rh: optimized geometry, PBE.

N(E_F): 2.5 states/eV per cell
calculated volume: 131 Å³/f.u.
raw total energy: -3.710 eV per atom
M_tot: 0.000 μB/f.u.
crystal system: trigonal

a b c (Å): 5.3289 5.3339 5.3339
angles (deg): 120.00 90.00 90.00
Element x y z (fractional)
H  0.1890  0.3157  0.1579
H  0.8110  0.1579  0.3157
H  0.8110  0.1579  0.8421
H  0.1890  0.8421  0.6843
H  0.8110  0.6843  0.8421
H  0.1890  0.8421  0.1579
Rh  0.0000  0.0000  0.0000
Sr  0.7774  0.6667  0.3333
Sr  0.2226  0.3333  0.6667
Ag  0.5000  0.0000  0.0000


Sr2AgHRh: optimized geometry, PBE.

N(E_F): 3.2 states/eV per cell
calculated volume: 121 Å³/f.u.
raw total energy: -3.739 eV per atom
M_tot: 0.000 μB/f.u.
crystal system: monoclinic

a b c (Å): 4.3495 6.5716 8.9282
angles (deg): 109.05 90.00 90.00
Element x y z (fractional)
Sr  0.7500  0.7708  0.6001
Sr  0.2500  0.2484  0.9632
Sr  0.2500  0.2292  0.3999
Sr  0.7500  0.7516  0.0368
Rh  0.7500  0.4150  0.2272
Rh  0.2500  0.5850  0.7728
Ag  0.7500  0.3167  0.6986
Ag  0.2500  0.6833  0.3014
H  0.7500  0.1531  0.1240
H  0.2500  0.8469  0.8760


AgTeH2Rh: optimized geometry, PBE.

N(E_F): 1.8 states/eV per cell
calculated volume: 76 Å³/f.u.
raw total energy: -3.764 eV per atom
M_tot: 0.000 μB/f.u.
crystal system: tetragonal

a b c (Å): 3.8076 5.2680 3.8076
angles (deg): 90.00 90.00 90.00
Element x y z (fractional)
Ag  0.5000  0.5000  0.5000
H  0.5000  0.0000  0.0000
H  0.0000  0.0000  0.5000
Rh  0.0000  0.0000  0.0000
Te  0.0000  0.5000  0.0000


ThAgH6Rh: optimized geometry, PBE.

N(E_F): 3.1 states/eV per cell
calculated volume: 85 Å³/f.u.
raw total energy: -4.377 eV per atom
M_tot: 0.000 μB/f.u.
crystal system: hexagonal

a b c (Å): 4.7532 4.7531 4.3530
angles (deg): 90.00 90.00 60.00
Element x y z (fractional)
Th  0.0000  0.0000  0.9999
H  0.4834  0.0333  0.7864
H  0.4833  0.4832  0.2137
H  0.0335  0.4833  0.2136
H  0.4832  0.0335  0.2137
H  0.4832  0.4835  0.7864
H  0.0333  0.4833  0.7864
Ag  0.6666  0.6667  0.4997
Rh  0.3334  0.3333  0.5002


ThAgH8Rh2: optimized geometry, PBE.

N(E_F): 2.5 states/eV per cell
calculated volume: 107 Å³/f.u.
raw total energy: -4.462 eV per atom
M_tot: 0.000 μB/f.u.
crystal system: monoclinic

a b c (Å): 4.3714 4.8304 6.3784
angles (deg): 64.85 69.96 63.10
Element x y z (fractional)
Rh  0.2692  0.2999  0.1617
Rh  0.7308  0.7001  0.8383
Ag  0.0000  0.0000  0.0000
H  0.2615  0.5867  0.8903
H  0.0562  0.5656  0.3220
H  0.5510  0.0503  0.3394
H  0.0592  0.0503  0.3394
H  0.9438  0.4344  0.6780
H  0.4490  0.9497  0.6606
H  0.7385  0.4133  0.1097
H  0.9408  0.9497  0.6606
Th  0.5000  0.5000  0.5000


Ti2AgHRh: optimized geometry, PBE.

N(E_F): 5.0 states/eV per cell
calculated volume: 65 Å³/f.u.
raw total energy: -6.094 eV per atom
M_tot: 0.006 μB/f.u.
crystal system: tetragonal

a b c (Å): 4.0131 4.0131 4.0593
angles (deg): 90.00 90.00 90.00
Element x y z (fractional)
Ti  0.0000  0.5000  0.0000
Ti  0.5000  0.0000  0.0000
Ag  0.0000  0.0000  0.5000
Rh  0.5000  0.5000  0.5000
H  0.0000  0.0000  0.0000